No. 1
Below is a geometry-optimized Th2ScTi structure, with properties calculated at the PBE level.

Properties
spin magnetization: 0.01 μB/f.u.
mass density: 8.85 g/cm3
relative energy among the computed polymorphs: 29 meV per atom
calculated total energy: -0.524 Ry per atom

Unit cell a=5.2873 b=5.2873 c=5.2873 alpha=60.00 beta=60.00 gamma=60.00
Fractional coordinates of all 4 atoms:
Sc 0.0000 0.0000 0.0000
Ti 0.5000 0.5000 0.5000
Th 0.7500 0.7500 0.7500
Th 0.2500 0.2500 0.2500

***

No. 2
Below is a geometry-optimized TaHg2Bi2 structure, with properties calculated at the PBE level.

Properties
spin magnetization: 1.06 μB/f.u.
mass density: 11.57 g/cm3
relative energy among the computed polymorphs: 0 meV per atom
calculated total energy: -0.264 Ry per atom

Unit cell a=3.8748 b=3.8748 c=9.9487 alpha=78.77 beta=78.77 gamma=90.00
Site moments in Bohr magnetons follow the coordinates.
Fractional coordinates of all 5 atoms:
Hg 0.2500 0.7500 0.5000  0.00
Hg 0.7500 0.2500 0.5000  0.00
Bi 0.4178 0.4178 0.1645  -0.01
Bi 0.5822 0.5822 0.8355  -0.01
Ta 0.0000 0.0000 0.0000  0.68

***

No. 3
Below is a geometry-optimized Cr2PdBr structure, with properties calculated at the PBE level.

Properties
formation energy without anion corrections: 651 meV per atom
spin magnetization: 8.67 μB/f.u.
mass density: 5.79 g/cm3
calculated total energy: -0.432 Ry per atom

Unit cell a=6.9570 b=6.9570 c=6.0014 alpha=54.58 beta=54.58 gamma=90.00
Site moments in Bohr magnetons follow the coordinates.
Fractional coordinates of all 8 atoms:
Cr 0.3750 0.3725 0.7500  3.84
Br 0.2500 0.7500 0.5000  0.00
Pd 0.0000 0.0000 0.0000  0.06
Cr 0.8750 0.8775 0.7500  3.75
Cr 0.1225 0.6250 0.2500  3.82
Br 0.5000 0.5000 0.0000  0.00
Pd 0.7500 0.2500 0.5000  0.07
Cr 0.6275 0.1250 0.2500  3.79

***

No. 4
Below is a geometry-optimized TlInIO2 structure, with properties calculated at the PBE level.

Properties
formation energy without anion corrections: -382 meV per atom
spin magnetization: 0.86 μB/f.u.
mass density: 6.73 g/cm3
relative energy among the computed polymorphs: 0 meV per atom
calculated total energy: -0.272 Ry per atom

Unit cell a=4.4113 b=4.4113 c=6.0651 alpha=90.00 beta=90.00 gamma=90.00
Site moments in Bohr magnetons follow the coordinates.
Fractional coordinates of all 5 atoms:
In 0.0000 0.0000 0.0000  0.04
O 0.0000 0.5000 0.0000  -0.38
O 0.5000 0.0000 0.0000  -0.38
Tl 0.5000 0.5000 0.5000  0.00
I 0.0000 0.0000 0.5000  0.00

***

No. 5
Below is a geometry-optimized SrMg6NbO8 structure, with properties calculated at the PBE level.

Properties
formation energy without anion corrections: -2295 meV per atom
spin magnetization: 0.50 μB/f.u.
mass density: 4.22 g/cm3
relative energy among the computed polymorphs: 0 meV per atom
calculated total energy: -0.449 Ry per atom

Unit cell a=4.4751 b=4.4751 c=8.9328 alpha=90.00 beta=90.00 gamma=90.00
Site moments in Bohr magnetons follow the coordinates.
Fractional coordinates of all 16 atoms:
Mg 0.5000 0.5000 0.5000  0.00
Sr 0.0000 0.0000 0.0000  0.00
Mg 0.5000 0.0000 0.2663  0.00
O 0.0000 0.0000 0.2743  0.00
O 0.5000 0.0000 0.0000  0.01
O 0.0000 0.5000 0.0000  0.01
O 0.0000 0.0000 0.7257  0.00
Mg 0.0000 0.5000 0.2663  0.00
Nb 0.5000 0.5000 0.0000  0.39
O 0.5000 0.5000 0.7360  0.01
O 0.0000 0.5000 0.5000  0.00
Mg 0.0000 0.5000 0.7337  0.00
Mg 0.0000 0.0000 0.5000  0.00
Mg 0.5000 0.0000 0.7337  0.00
O 0.5000 0.0000 0.5000  0.00
O 0.5000 0.5000 0.2640  0.01

***

No. 6
Below is a geometry-optimized B3RuPb structure, with properties calculated at the PBE level.

Properties
spin magnetization: 1.88 μB/f.u.
mass density: 6.14 g/cm3
relative energy among the computed polymorphs: 2016 meV per atom
calculated total energy: -0.263 Ry per atom

Unit cell a=4.5156 b=4.5156 c=4.5156 alpha=90.00 beta=90.00 gamma=90.00
Site moments in Bohr magnetons follow the coordinates.
Fractional coordinates of all 5 atoms:
Ru 0.5000 0.5000 0.5000  2.12
B 0.0000 0.0000 0.5000  -0.07
B 0.5000 0.0000 0.0000  -0.05
Pb 0.0000 0.0000 0.0000  0.02
B 0.0000 0.5000 0.0000  -0.07